# 1
Here is a geometry-optimized EuLu2Sn structure from Alexandria via LeMat-Bulk. Energies are from GGA-PBE.

Values from the calculation:
E_form: -336 meV/atom
Total magnetic moment: 7.6 μB per formula unit
E_tot: -6.166 eV/atom
Polymorph energy (0 for the lowest one): 0.0 meV/atom
DOS at the Fermi energy: 1.1818 states/eV/atom

CIF file:
```
data_EuLu2Sn
_space_group_name_H-M_alt 'P 4/m m m'
_space_group_IT_number 123
_space_group_name_Hall '-P 4 2'
_cell_length_a 4.863
_cell_length_b 4.863
_cell_length_c 4.734
_cell_angle_alpha 90.00
_cell_angle_beta 90.00
_cell_angle_gamma 90.00
loop_
_atom_site_label
_atom_site_fract_x
_atom_site_fract_y
_atom_site_fract_z
Eu1 0.000 0.000 0.000
Lu1 0.000 0.500 0.500
Sn1 0.500 0.500 0.000
```

---

# 2
Here is a geometry-optimized Eu2LuSn structure from Alexandria via LeMat-Bulk. Energies are from GGA-PBE.

Values from the calculation:
E_form: -365 meV/atom
Total magnetic moment: 14.7 μB per formula unit
E_tot: -7.633 eV/atom
DOS at the Fermi energy: 0.7885 states/eV/atom

CIF file:
```
data_Eu2LuSn
_space_group_name_H-M_alt 'P 4/m m m'
_space_group_IT_number 123
_space_group_name_Hall '-P 4 2'
_cell_length_a 4.862
_cell_length_b 4.862
_cell_length_c 5.097
_cell_angle_alpha 90.00
_cell_angle_beta 90.00
_cell_angle_gamma 90.00
loop_
_atom_site_label
_atom_site_fract_x
_atom_site_fract_y
_atom_site_fract_z
Eu1 0.000 0.500 0.000
Lu1 0.000 0.000 0.500
Sn1 0.500 0.500 0.500
```

---

# 3
Here is a geometry-optimized EuLuSn structure from Alexandria via LeMat-Bulk. Energies are from GGA-PBE.

Values from the calculation:
E_form: 76 meV/atom
Total magnetic moment: 7.7 μB per formula unit
E_tot: -6.190 eV/atom
Polymorph energy (0 for the lowest one): 441.5 meV/atom
DOS at the Fermi energy: 0.9703 states/eV/atom

CIF file:
```
data_EuLuSn
_space_group_name_H-M_alt 'I 4 m m'
_space_group_IT_number 107
_space_group_name_Hall 'I 4 -2'
_cell_length_a 3.405
_cell_length_b 3.405
_cell_length_c 17.538
_cell_angle_alpha 90.00
_cell_angle_beta 90.00
_cell_angle_gamma 90.00
loop_
_atom_site_label
_atom_site_fract_x
_atom_site_fract_y
_atom_site_fract_z
Eu1 0.000 0.000 0.000
Lu1 0.000 0.000 0.198
Sn1 0.000 0.000 0.817
```

---

# 4
Here is a geometry-optimized EuLuSn2 structure from Alexandria via LeMat-Bulk. Energies are from GGA-PBE.

Values from the calculation:
E_form: -584 meV/atom
Total magnetic moment: 7.1 μB per formula unit
E_tot: -6.284 eV/atom
Polymorph energy (0 for the lowest one): 0.0 meV/atom
DOS at the Fermi energy: 0.5139 states/eV/atom

CIF file:
```
data_EuLuSn2
_space_group_name_H-M_alt 'P 4/m m m'
_space_group_IT_number 123
_space_group_name_Hall '-P 4 2'
_cell_length_a 3.963
_cell_length_b 3.963
_cell_length_c 7.142
_cell_angle_alpha 90.00
_cell_angle_beta 90.00
_cell_angle_gamma 90.00
loop_
_atom_site_label
_atom_site_fract_x
_atom_site_fract_y
_atom_site_fract_z
Eu1 0.000 0.000 0.000
Lu1 0.000 0.000 0.500
Sn1 0.500 0.500 0.280
```

---

# 5
Here is a geometry-optimized EuLuTlSn structure from Alexandria via LeMat-Bulk. Energies are from GGA-PBE.

Values from the calculation:
E_form: -436 meV/atom
Total magnetic moment: 7.2 μB per formula unit
E_tot: -5.727 eV/atom
DOS at the Fermi energy: 0.5636 states/eV/atom

CIF file:
```
data_EuLuTlSn
_space_group_name_H-M_alt 'F -4 3 m'
_space_group_IT_number 216
_space_group_name_Hall 'F -4 2 3'
_cell_length_a 7.655
_cell_length_b 7.655
_cell_length_c 7.655
_cell_angle_alpha 90.00
_cell_angle_beta 90.00
_cell_angle_gamma 90.00
loop_
_atom_site_label
_atom_site_fract_x
_atom_site_fract_y
_atom_site_fract_z
Eu1 0.000 0.000 0.000
Lu1 0.000 0.000 0.500
Tl1 0.250 0.250 0.250
Sn1 0.250 0.250 0.750
```

---

# 6
Here is a geometry-optimized EuLuZnSn structure from Alexandria via LeMat-Bulk. Energies are from GGA-PBE.

Values from the calculation:
E_form: -444 meV/atom
Total magnetic moment: 7.4 μB per formula unit
E_tot: -5.462 eV/atom
DOS at the Fermi energy: 0.7260 states/eV/atom

CIF file:
```
data_EuLuZnSn
_space_group_name_H-M_alt 'F -4 3 m'
_space_group_IT_number 216
_space_group_name_Hall 'F -4 2 3'
_cell_length_a 7.434
_cell_length_b 7.434
_cell_length_c 7.434
_cell_angle_alpha 90.00
_cell_angle_beta 90.00
_cell_angle_gamma 90.00
loop_
_atom_site_label
_atom_site_fract_x
_atom_site_fract_y
_atom_site_fract_z
Eu1 0.000 0.000 0.000
Lu1 0.000 0.000 0.500
Zn1 0.250 0.250 0.750
Sn1 0.250 0.250 0.250
```

---

Question: Among the records above, which one has the lowest E_tot?
Answer: Eu2LuSn

---

Question: The highest DOS at the Fermi energy belongs to which entry?
Answer: EuLu2Sn

---

Question: Which of these has the highest E_tot?
Answer: EuLuZnSn